[1]
AsC3F | PBE | relaxed

The structure in CIF format:
```
data_AsC3F
_cell_length_a 3.817
_cell_length_b 3.817
_cell_length_c 3.817
_cell_angle_alpha 90.00
_cell_angle_beta 90.00
_cell_angle_gamma 90.00
_space_group_name_H-M_alt 'P m -3 m'
_space_group_IT_number 221
_space_group_name_Hall '-P 4 2 3'
loop_
_atom_site_label
_atom_site_type_symbol
_atom_site_fract_x
_atom_site_fract_y
_atom_site_fract_z
As1 As 0.000 0.000 0.000
C1 C 0.000 0.500 0.500
F1 F 0.500 0.500 0.500
```

E_form (uncorrected) (eV/atom): 3.18
Final energy (eV/atom): -3.66
ΔE to the lowest computed polymorph (eV per atom): 0.461



[2]
AsC3F | PBE | relaxed

The structure in CIF format:
```
data_AsC3F
_cell_length_a 3.930
_cell_length_b 3.930
_cell_length_c 3.930
_cell_angle_alpha 90.00
_cell_angle_beta 90.00
_cell_angle_gamma 90.00
_space_group_name_H-M_alt 'P m -3 m'
_space_group_IT_number 221
_space_group_name_Hall '-P 4 2 3'
loop_
_atom_site_label
_atom_site_type_symbol
_atom_site_fract_x
_atom_site_fract_y
_atom_site_fract_z
As1 As 0.000 0.000 0.000
C1 C 0.000 0.000 0.500
F1 F 0.500 0.500 0.500
```

E_form (uncorrected) (eV/atom): 2.72
Final energy (eV/atom): -4.12
ΔE to the lowest computed polymorph (eV per atom): 0.000



[3]
As3CF | PBE | relaxed

The structure in CIF format:
```
data_As3CF
_cell_length_a 4.364
_cell_length_b 4.364
_cell_length_c 4.364
_cell_angle_alpha 90.00
_cell_angle_beta 90.00
_cell_angle_gamma 90.00
_space_group_name_H-M_alt 'P m -3 m'
_space_group_IT_number 221
_space_group_name_Hall '-P 4 2 3'
loop_
_atom_site_label
_atom_site_type_symbol
_atom_site_fract_x
_atom_site_fract_y
_atom_site_fract_z
As1 As 0.000 0.000 0.500
C1 C 0.000 0.000 0.000
F1 F 0.500 0.500 0.500
```

E_form (uncorrected) (eV/atom): 0.82
Final energy (eV/atom): -4.18
ΔE to the lowest computed polymorph (eV per atom): 0.000



[4]
AsCF3 | PBE | relaxed

The structure in CIF format:
```
data_AsCF3
_cell_length_a 3.931
_cell_length_b 3.931
_cell_length_c 3.931
_cell_angle_alpha 90.00
_cell_angle_beta 90.00
_cell_angle_gamma 90.00
_space_group_name_H-M_alt 'P m -3 m'
_space_group_IT_number 221
_space_group_name_Hall '-P 4 2 3'
loop_
_atom_site_label
_atom_site_type_symbol
_atom_site_fract_x
_atom_site_fract_y
_atom_site_fract_z
As1 As 0.000 0.000 0.000
C1 C 0.500 0.500 0.500
F1 F 0.000 0.500 0.500
```

E_form (uncorrected) (eV/atom): 0.48
Final energy (eV/atom): -3.42
ΔE to the lowest computed polymorph (eV per atom): 0.447



[5]
AsCF3 | PBE | relaxed

The structure in CIF format:
```
data_AsCF3
_cell_length_a 4.168
_cell_length_b 4.168
_cell_length_c 4.168
_cell_angle_alpha 90.00
_cell_angle_beta 90.00
_cell_angle_gamma 90.00
_space_group_name_H-M_alt 'P m -3 m'
_space_group_IT_number 221
_space_group_name_Hall '-P 4 2 3'
loop_
_atom_site_label
_atom_site_type_symbol
_atom_site_fract_x
_atom_site_fract_y
_atom_site_fract_z
As1 As 0.000 0.000 0.000
C1 C 0.500 0.500 0.500
F1 F 0.000 0.000 0.500
```

E_form (uncorrected) (eV/atom): 0.03
Final energy (eV/atom): -3.86
ΔE to the lowest computed polymorph (eV per atom): 0.000



[6]
HfAsCF2 | PBE | relaxed

The structure in CIF format:
```
data_HfAsCF2
_cell_length_a 3.748
_cell_length_b 3.748
_cell_length_c 5.837
_cell_angle_alpha 90.00
_cell_angle_beta 90.00
_cell_angle_gamma 90.00
_space_group_name_H-M_alt 'P 4/m m m'
_space_group_IT_number 123
_space_group_name_Hall '-P 4 2'
loop_
_atom_site_label
_atom_site_type_symbol
_atom_site_fract_x
_atom_site_fract_y
_atom_site_fract_z
Hf1 Hf 0.000 0.000 0.000
As1 As 0.000 0.000 0.500
C1 C 0.500 0.500 0.000
F1 F 0.000 0.500 0.500
```

E_form (uncorrected) (eV/atom): -0.21
Final energy (eV/atom): -5.72



- final energy of number 3 (As3CF)?
  -4.18 eV/atom



- Look up the E_form (uncorrected) of the third one.
  0.82 eV/atom



- The lowest final energy belongs to which entry?
  HfAsCF2



- The highest final energy belongs to which entry?
  number 4